# 1
Nb2ZnTc2 after structural relaxation, computed with PBE.

abc: 7.3428 7.3428 3.1775
angles: 90.00 90.00 90.00
Space group P4/mbm (No. 127)
Unique sites:
Nb (0.1566, 0.3434, 0.0000) (multiplicity 4)
Zn (0.0000, 0.0000, 0.5000) (multiplicity 2)
Tc (0.1435, 0.6435, 0.5000) (multiplicity 4)

Properties
Energy of formation from the pure elements (meV/atom): 143
Calculated volume (Å³/atom): 17.1
Crystal system: tetragonal
D(E_F) (states/eV per atom): 1.014
Final energy (eV/atom): -8.29

# 2
Nb2Zn2Tc after structural relaxation, computed with PBE.

abc: 6.7531 6.7531 3.4742
angles: 90.00 90.00 90.00
Space group P4/mbm (No. 127)
Unique sites:
Nb (0.1770, 0.3230, 0.0000) (multiplicity 4)
Zn (0.1254, 0.6254, 0.5000) (multiplicity 4)
Tc (0.0000, 0.0000, 0.5000) (multiplicity 2)

Properties
Energy of formation from the pure elements (meV/atom): 24
Calculated volume (Å³/atom): 15.8
Crystal system: tetragonal
D(E_F) (states/eV per atom): 0.571
Final energy (eV/atom): -6.59

# 3
Nb2ZnTc after structural relaxation, computed with PBE.

abc: 3.2448 3.2448 6.2244
angles: 90.00 90.00 90.00
Space group P4/mmm (No. 123)
Unique sites:
Nb (0.0000, 0.0000, 0.2443) (multiplicity 2)
Zn (0.5000, 0.5000, 0.5000) (multiplicity 1)
Tc (0.5000, 0.5000, 0.0000) (multiplicity 1)

Properties
Energy of formation from the pure elements (meV/atom): -105
Calculated volume (Å³/atom): 16.4
Crystal system: tetragonal
D(E_F) (states/eV per atom): 0.621
Final energy (eV/atom): -8.05

# 4
NbZn3Tc after structural relaxation, computed with PBE.

abc: 4.6331 4.6331 4.6331
angles: 90.00 90.00 90.00
Space group Pm-3m (No. 221)
Unique sites:
Nb (0.0000, 0.0000, 0.0000) (multiplicity 1)
Zn (0.0000, 0.5000, 0.5000) (multiplicity 3)
Tc (0.5000, 0.5000, 0.5000) (multiplicity 1)

Properties
Energy of formation from the pure elements (meV/atom): 1127
Calculated volume (Å³/atom): 19.9
Excess energy over the best structure of this formula in the dataset (meV/atom): 0
Crystal system: cubic
D(E_F) (states/eV per atom): 1.644
Final energy (eV/atom): -3.72